# CaTlPtAu | Alexandria | PBE-GGA | optimized geometry
# E = -61.81 eV per cell
data_CaTlPtAu
_cell_length_a 7.002
_cell_length_b 7.002
_cell_length_c 7.002
_cell_angle_alpha 90.00
_cell_angle_beta 90.00
_cell_angle_gamma 90.00
_space_group_name_H-M_alt 'P 1'
_space_group_IT_number 1
loop_
_space_group_symop_operation_xyz
'x,y,z'
loop_
_atom_site_label
_atom_site_type_symbol
_atom_site_fract_x
_atom_site_fract_y
_atom_site_fract_z
Ca1 Ca 0.000 0.000 0.000
Ca2 Ca 0.000 0.500 0.500
Ca3 Ca 0.500 0.000 0.500
Ca4 Ca 0.500 0.500 0.000
Tl1 Tl 0.000 0.000 0.500
Tl2 Tl 0.000 0.500 0.000
Tl3 Tl 0.500 0.000 0.000
Tl4 Tl 0.500 0.500 0.500
Pt1 Pt 0.250 0.250 0.750
Pt2 Pt 0.250 0.750 0.250
Pt3 Pt 0.750 0.250 0.250
Pt4 Pt 0.750 0.750 0.750
Au1 Au 0.250 0.250 0.250
Au2 Au 0.250 0.750 0.750
Au3 Au 0.750 0.250 0.750
Au4 Au 0.750 0.750 0.250